Compound: K4Mn3CuF12
Source: the Alexandria database
Functional: PBE+U
Structure: optimized geometry

Structure (CIF):
```
data_K4Mn3CuF12
_chemical_formula_sum 'K4 Mn3 Cu1 F12'
_cell_length_a 7.289
_cell_length_b 7.289
_cell_length_c 7.289
_cell_angle_alpha 109.47
_cell_angle_beta 109.47
_cell_angle_gamma 109.47
_symmetry_space_group_name_H-M 'P 1'
_symmetry_Int_Tables_number 1
_symmetry_space_group_name_Hall 'P 1'
loop_
_atom_site_label
_atom_site_fract_x
_atom_site_fract_y
_atom_site_fract_z
K1 0.000 0.000 0.500
K2 0.000 0.500 0.000
K3 0.500 0.000 0.000
K4 0.500 0.500 0.500
Mn1 0.000 0.500 0.500
Mn2 0.500 0.000 0.500
Mn3 0.500 0.500 0.000
Cu1 0.000 0.000 0.000
F1 0.000 0.250 0.250
F2 0.000 0.750 0.750
F3 0.250 0.000 0.250
F4 0.250 0.250 0.000
F5 0.250 0.500 0.750
F6 0.250 0.750 0.500
F7 0.500 0.250 0.750
F8 0.500 0.750 0.250
F9 0.750 0.000 0.750
F10 0.750 0.250 0.500
F11 0.750 0.500 0.250
F12 0.750 0.750 0.000
```

Values from the calculation:
Electronic total energy   -5.272 eV per atom